Density functional theory data (PBE) for FeNiB after structural relaxation.

Values from the calculation:
**Magnetization**: 1.9 μB per formula unit
**Crystal system**: orthorhombic
**E_form**: -0.208 eV/atom

Lattice parameters (Å, degrees): 2.9519 2.8957 6.5373 102.80 90.00 90.00
Each line ends with the local moment (μB).
Positions (direct):
Fe: 0.2500 0.9149 0.8297  1.72
Fe: 0.7500 0.0851 0.1703  1.72
Ni: 0.7500 0.2997 0.5994  0.29
Ni: 0.2500 0.7003 0.4006  0.29
B: 0.2500 0.5397 0.0794  -0.06
B: 0.7500 0.4603 0.9206  -0.06